Material: HoMnSi3Ru
Method: DFT, GGA-PBE
State: optimized geometry

Output
* size of the total moment: 0.00 μB per formula unit
* total DFT energy (no corrections): -6.916 eV/atom
* SG: Cmcm, No. 63

Lattice parameters (Å, degrees): 6.118 5.790 6.466 116.60 90.00 90.00
Fractional positions:
Ho 0.750 0.260 0.520
Ho 0.250 0.740 0.480
Mn 0.250 0.002 0.005
Mn 0.750 0.998 0.995
Si 0.250 0.184 0.368
Si 0.000 0.292 0.000
Si 0.500 0.708 0.000
Si 0.500 0.292 0.000
Si 0.000 0.708 0.000
Si 0.750 0.816 0.632
Ru 0.250 0.376 0.753
Ru 0.750 0.624 0.247